Record 1
A crystal of TlFe3Ag relaxed with PBEsol, computed with meta-GGA SCAN.

## Properties
* DOS at the Fermi energy: 1.1020 states/eV/atom
* calculated formation energy: 1.56 eV per atom

CIF file:
```
data_TlFe3Ag
_symmetry_space_group_name_H-M 'P m -3 m'
_symmetry_Int_Tables_number 221
_symmetry_space_group_name_Hall '-P 4 2 3'
_cell_length_a 4.774
_cell_length_b 4.774
_cell_length_c 4.774
_cell_angle_alpha 90.00
_cell_angle_beta 90.00
_cell_angle_gamma 90.00
loop_
_atom_site_label
_atom_site_fract_x
_atom_site_fract_y
_atom_site_fract_z
_atom_site_occupancy
Tl1 0.000 0.000 0.000 1
Fe1 0.000 0.000 0.500 1
Ag1 0.500 0.500 0.500 1
```



Record 2
A crystal of CdCoOs2 relaxed with PBEsol, computed with meta-GGA SCAN.

## Properties
* DOS at the Fermi energy: 0.6196 states/eV/atom
* calculated formation energy: 0.50 eV per atom

CIF file:
```
data_CdCoOs2
_symmetry_space_group_name_H-M 'C 1 m 1'
_symmetry_Int_Tables_number 8
_symmetry_space_group_name_Hall 'C -2y'
_cell_length_a 8.871
_cell_length_b 2.732
_cell_length_c 4.821
_cell_angle_alpha 90.00
_cell_angle_beta 99.96
_cell_angle_gamma 90.00
loop_
_atom_site_label
_atom_site_fract_x
_atom_site_fract_y
_atom_site_fract_z
_atom_site_occupancy
Cd1 0.000 0.000 0.000 1
Co1 0.244 0.000 0.762 1
Os1 0.009 0.500 0.504 1
Os2 0.263 0.500 0.324 1
```



Record 3
A crystal of In2TcMo relaxed with PBEsol, computed with meta-GGA SCAN.

## Properties
* DOS at the Fermi energy: 0.6361 states/eV/atom
* calculated formation energy: 0.26 eV per atom
* energy relative to the lowest polymorph listed for this composition: 0.00 kcal/mol of atoms

CIF file:
```
data_In2TcMo
_symmetry_space_group_name_H-M 'R 3 m'
_symmetry_Int_Tables_number 160
_symmetry_space_group_name_Hall 'R 3 -2"'
_cell_length_a 3.0229
_cell_length_b 3.0229
_cell_length_c 27.8015
_cell_angle_alpha 90.00
_cell_angle_beta 90.00
_cell_angle_gamma 120.00
loop_
_atom_site_label
_atom_site_fract_x
_atom_site_fract_y
_atom_site_fract_z
_atom_site_occupancy
In1 0.0000 0.0000 0.0000 1
In2 0.0000 0.0000 0.2350 1
Tc1 0.0000 0.0000 0.7502 1
Mo1 0.0000 0.0000 0.4824 1
```



Record 4
A crystal of MoPPb relaxed with PBEsol, computed with meta-GGA SCAN.

## Properties
* DOS at the Fermi energy: 0.5995 states/eV/atom
* calculated formation energy: 0.10 eV per atom
* energy relative to the lowest polymorph listed for this composition: 0.00 kcal/mol of atoms

CIF file:
```
data_MoPPb
_symmetry_space_group_name_H-M 'I 4 m m'
_symmetry_Int_Tables_number 107
_symmetry_space_group_name_Hall 'I 4 -2'
_cell_length_a 3.245
_cell_length_b 3.245
_cell_length_c 10.257
_cell_angle_alpha 90.00
_cell_angle_beta 90.00
_cell_angle_gamma 90.00
loop_
_atom_site_label
_atom_site_fract_x
_atom_site_fract_y
_atom_site_fract_z
_atom_site_occupancy
Mo1 0.000 0.000 0.000 1
P1 0.000 0.000 0.587 1
Pb1 0.000 0.000 0.296 1
```



Record 5
A crystal of Li2ZnCo relaxed with PBEsol, computed with meta-GGA SCAN.

## Properties
* DOS at the Fermi energy: 0.4284 states/eV/atom
* calculated formation energy: 0.02 eV per atom

CIF file:
```
data_Li2ZnCo
_symmetry_space_group_name_H-M 'P m m 2'
_symmetry_Int_Tables_number 25
_symmetry_space_group_name_Hall 'P 2 -2'
_cell_length_a 2.496
_cell_length_b 3.851
_cell_length_c 5.272
_cell_angle_alpha 90.00
_cell_angle_beta 90.00
_cell_angle_gamma 90.00
loop_
_atom_site_label
_atom_site_fract_x
_atom_site_fract_y
_atom_site_fract_z
_atom_site_occupancy
Li1 0.000 0.000 0.000 1
Li2 0.500 0.500 0.267 1
Zn1 0.000 0.000 0.543 1
Co1 0.500 0.500 0.743 1
```



Record 6
A crystal of MgCrIr3 relaxed with PBEsol, computed with meta-GGA SCAN.

## Properties
* DOS at the Fermi energy: 0.9038 states/eV/atom
* calculated formation energy: 0.90 eV per atom

CIF file:
```
data_MgCrIr3
_symmetry_space_group_name_H-M 'P m -3 m'
_symmetry_Int_Tables_number 221
_symmetry_space_group_name_Hall '-P 4 2 3'
_cell_length_a 4.451
_cell_length_b 4.451
_cell_length_c 4.451
_cell_angle_alpha 90.00
_cell_angle_beta 90.00
_cell_angle_gamma 90.00
loop_
_atom_site_label
_atom_site_fract_x
_atom_site_fract_y
_atom_site_fract_z
_atom_site_occupancy
Mg1 0.000 0.000 0.000 1
Cr1 0.500 0.500 0.500 1
Ir1 0.000 0.500 0.500 1
```



Record 7
A crystal of LaAgOs2 relaxed with PBEsol, computed with meta-GGA SCAN.

## Properties
* DOS at the Fermi energy: 0.5310 states/eV/atom
* calculated formation energy: 0.02 eV per atom
* energy relative to the lowest polymorph listed for this composition: 0.00 kcal/mol of atoms

CIF file:
```
data_LaAgOs2
_symmetry_space_group_name_H-M 'R 3 m'
_symmetry_Int_Tables_number 160
_symmetry_space_group_name_Hall 'R 3 -2"'
_cell_length_a 4.3288
_cell_length_b 4.3288
_cell_length_c 15.5037
_cell_angle_alpha 90.00
_cell_angle_beta 90.00
_cell_angle_gamma 120.00
loop_
_atom_site_label
_atom_site_fract_x
_atom_site_fract_y
_atom_site_fract_z
_atom_site_occupancy
La1 0.0000 0.0000 0.0000 1
Ag1 0.0000 0.0000 0.2095 1
Os1 0.0000 0.0000 0.4695 1
Os2 0.0000 0.0000 0.7990 1
```



Record 8
A crystal of Ba5B20H4O38 relaxed with PBEsol, computed with meta-GGA SCAN.

## Properties
* raw total energy: -11.516 eV/atom
* DOS at the Fermi energy: 0.0369 states/eV/atom

CIF file:
```
data_Ba5B20H4O38
_symmetry_space_group_name_H-M 'P 1 2 1'
_symmetry_Int_Tables_number 3
_symmetry_space_group_name_Hall 'P 2y'
_cell_length_a 9.495
_cell_length_b 6.736
_cell_length_c 11.688
_cell_angle_alpha 90.00
_cell_angle_beta 94.97
_cell_angle_gamma 90.00
loop_
_atom_site_label
_atom_site_fract_x
_atom_site_fract_y
_atom_site_fract_z
_atom_site_occupancy
Ba1 0.000 0.000 0.000 1
Ba2 0.380 0.769 0.827 1
Ba3 0.384 0.255 0.304 1
B1 0.043 0.235 0.688 1
B2 0.071 0.743 0.250 1
B3 0.237 0.216 0.848 1
B4 0.287 0.753 0.146 1
B5 0.289 0.251 0.642 1
B6 0.301 0.716 0.360 1
B7 0.320 0.445 0.010 1
B8 0.331 0.596 0.558 1
B9 0.345 0.949 0.520 1
B10 0.365 0.081 0.036 1
H1 0.103 0.774 0.674 1
H2 0.108 0.249 0.437 1
O1 0.000 0.419 0.000 1
O2 0.076 0.760 0.753 1
O3 0.084 0.216 0.803 1
O4 0.100 0.237 0.351 1
O5 0.130 0.742 0.147 1
O6 0.138 0.251 0.606 1
O7 0.147 0.736 0.353 1
O8 0.255 0.066 0.939 1
O9 0.270 0.416 0.897 1
O10 0.312 0.795 0.594 1
O11 0.325 0.166 0.755 1
O12 0.330 0.962 0.136 1
O13 0.332 0.641 0.046 1
O14 0.339 0.556 0.446 1
O15 0.343 0.461 0.645 1
O16 0.355 0.665 0.252 1
O17 0.362 0.142 0.554 1
O18 0.365 0.904 0.408 1
O19 0.369 0.292 0.079 1
O20 0.500 0.012 0.000 1
```



Record 9
A crystal of MgGeN2O relaxed with PBEsol, computed with meta-GGA SCAN.

## Properties
* DOS at the Fermi energy: 0.4045 states/eV/atom
* uncorrected formation energy: 0.045 eV/atom

CIF file:
```
data_MgGeN2O
_symmetry_space_group_name_H-M 'P 4/m m m'
_symmetry_Int_Tables_number 123
_symmetry_space_group_name_Hall '-P 4 2'
_cell_length_a 3.739
_cell_length_b 3.739
_cell_length_c 3.824
_cell_angle_alpha 90.00
_cell_angle_beta 90.00
_cell_angle_gamma 90.00
loop_
_atom_site_label
_atom_site_fract_x
_atom_site_fract_y
_atom_site_fract_z
_atom_site_occupancy
Mg1 0.000 0.000 0.000 1
Ge1 0.500 0.500 0.500 1
N1 0.000 0.500 0.500 1
O1 0.500 0.500 0.000 1
```



Record 10
A crystal of TlAsAu2 relaxed with PBEsol, computed with meta-GGA SCAN.

## Properties
* DOS at the Fermi energy: 0.3762 states/eV/atom
* calculated formation energy: 0.02 eV per atom

CIF file:
```
data_TlAsAu2
_symmetry_space_group_name_H-M 'C 1 m 1'
_symmetry_Int_Tables_number 8
_symmetry_space_group_name_Hall 'C -2y'
_cell_length_a 6.443
_cell_length_b 3.729
_cell_length_c 7.490
_cell_angle_alpha 90.00
_cell_angle_beta 106.85
_cell_angle_gamma 90.00
loop_
_atom_site_label
_atom_site_fract_x
_atom_site_fract_y
_atom_site_fract_z
_atom_site_occupancy
Tl1 0.000 0.000 0.000 1
As1 0.230 0.000 0.685 1
Au1 0.000 0.500 0.498 1
Au2 0.254 0.500 0.261 1
```



Record 11
A crystal of MnInAg relaxed with PBEsol, computed with meta-GGA SCAN.

## Properties
* DOS at the Fermi energy: 0.4527 states/eV/atom
* calculated formation energy: 0.07 eV per atom

CIF file:
```
data_MnInAg
_symmetry_space_group_name_H-M 'P 3 m 1'
_symmetry_Int_Tables_number 156
_symmetry_space_group_name_Hall 'P 3 -2"'
_cell_length_a 3.0176
_cell_length_b 3.0176
_cell_length_c 6.7749
_cell_angle_alpha 90.00
_cell_angle_beta 90.00
_cell_angle_gamma 120.00
loop_
_atom_site_label
_atom_site_fract_x
_atom_site_fract_y
_atom_site_fract_z
_atom_site_occupancy
Mn1 0.0000 0.0000 0.0000 1
In1 0.3333 0.6667 0.3343 1
Ag1 0.6667 0.3333 0.6878 1
```



Record 12
A crystal of LiIn2Tc relaxed with PBEsol, computed with meta-GGA SCAN.

## Properties
* DOS at the Fermi energy: 0.3994 states/eV/atom
* calculated formation energy: 0.05 eV per atom
* energy relative to the lowest polymorph listed for this composition: 0.26 kcal/mol of atoms

CIF file:
```
data_LiIn2Tc
_symmetry_space_group_name_H-M 'C 1 m 1'
_symmetry_Int_Tables_number 8
_symmetry_space_group_name_Hall 'C -2y'
_cell_length_a 10.159
_cell_length_b 3.173
_cell_length_c 4.563
_cell_angle_alpha 90.00
_cell_angle_beta 108.14
_cell_angle_gamma 90.00
loop_
_atom_site_label
_atom_site_fract_x
_atom_site_fract_y
_atom_site_fract_z
_atom_site_occupancy
Li1 0.000 0.000 0.000 1
In1 0.241 0.000 0.830 1
In2 0.480 0.000 0.461 1
Tc1 0.243 0.500 0.333 1
```



Record 13
A crystal of BaSc3Si relaxed with PBEsol, computed with meta-GGA SCAN.

## Properties
* DOS at the Fermi energy: 0.9606 states/eV/atom
* uncorrected formation energy: 1.513 eV/atom

CIF file:
```
data_BaSc3Si
_symmetry_space_group_name_H-M 'P m -3 m'
_symmetry_Int_Tables_number 221
_symmetry_space_group_name_Hall '-P 4 2 3'
_cell_length_a 5.143
_cell_length_b 5.143
_cell_length_c 5.143
_cell_angle_alpha 90.00
_cell_angle_beta 90.00
_cell_angle_gamma 90.00
loop_
_atom_site_label
_atom_site_fract_x
_atom_site_fract_y
_atom_site_fract_z
_atom_site_occupancy
Ba1 0.000 0.000 0.000 1
Sc1 0.000 0.000 0.500 1
Si1 0.500 0.500 0.500 1
```



Record 14
A crystal of Ta2AlTl relaxed with PBEsol, computed with meta-GGA SCAN.

## Properties
* DOS at the Fermi energy: 0.5749 states/eV/atom
* calculated formation energy: 0.25 eV per atom

CIF file:
```
data_Ta2AlTl
_symmetry_space_group_name_H-M 'C 1 2/m 1'
_symmetry_Int_Tables_number 12
_symmetry_space_group_name_Hall '-C 2y'
_cell_length_a 9.752
_cell_length_b 3.006
_cell_length_c 5.112
_cell_angle_alpha 90.00
_cell_angle_beta 101.34
_cell_angle_gamma 90.00
loop_
_atom_site_label
_atom_site_fract_x
_atom_site_fract_y
_atom_site_fract_z
_atom_site_occupancy
Ta1 0.246 0.000 0.239 1
Al1 0.000 0.500 0.000 1
Tl1 0.000 0.000 0.500 1
```



Record 15
A crystal of ScBeNi relaxed with PBEsol, computed with meta-GGA SCAN.

## Properties
* DOS at the Fermi energy: 0.5412 states/eV/atom
* calculated formation energy: -0.02 eV per atom
* energy relative to the lowest polymorph listed for this composition: 7.02 kcal/mol of atoms

CIF file:
```
data_ScBeNi
_symmetry_space_group_name_H-M 'F -4 3 m'
_symmetry_Int_Tables_number 216
_symmetry_space_group_name_Hall 'F -4 2 3'
_cell_length_a 5.669
_cell_length_b 5.669
_cell_length_c 5.669
_cell_angle_alpha 90.00
_cell_angle_beta 90.00
_cell_angle_gamma 90.00
loop_
_atom_site_label
_atom_site_fract_x
_atom_site_fract_y
_atom_site_fract_z
_atom_site_occupancy
Sc1 0.000 0.000 0.000 1
Be1 0.000 0.000 0.500 1
Ni1 0.250 0.250 0.250 1
```



Record 16
A crystal of AlAg3 relaxed with PBEsol, computed with meta-GGA SCAN.

## Properties
* DOS at the Fermi energy: 0.2616 states/eV/atom
* calculated formation energy: -0.08 eV per atom

CIF file:
```
data_AlAg3
_symmetry_space_group_name_H-M 'I m m a'
_symmetry_Int_Tables_number 74
_symmetry_space_group_name_Hall '-I 2b 2'
_cell_length_a 3.937
_cell_length_b 4.111
_cell_length_c 16.016
_cell_angle_alpha 90.00
_cell_angle_beta 90.00
_cell_angle_gamma 90.00
loop_
_atom_site_label
_atom_site_fract_x
_atom_site_fract_y
_atom_site_fract_z
_atom_site_occupancy
Al1 0.000 0.250 0.066 1
Ag1 0.000 0.250 0.316 1
Ag2 0.000 0.250 0.558 1
Ag3 0.000 0.250 0.814 1
```



Record 17
A crystal of Ca2ScTl relaxed with PBEsol, computed with meta-GGA SCAN.

## Properties
* DOS at the Fermi energy: 0.9582 states/eV/atom
* calculated formation energy: -0.12 eV per atom
* energy relative to the lowest polymorph listed for this composition: 0.74 kcal/mol of atoms

CIF file:
```
data_Ca2ScTl
_symmetry_space_group_name_H-M 'F -4 3 m'
_symmetry_Int_Tables_number 216
_symmetry_space_group_name_Hall 'F -4 2 3'
_cell_length_a 7.592
_cell_length_b 7.592
_cell_length_c 7.592
_cell_angle_alpha 90.00
_cell_angle_beta 90.00
_cell_angle_gamma 90.00
loop_
_atom_site_label
_atom_site_fract_x
_atom_site_fract_y
_atom_site_fract_z
_atom_site_occupancy
Ca1 0.000 0.000 0.000 1
Ca2 0.250 0.250 0.250 1
Sc1 0.250 0.250 0.750 1
Tl1 0.000 0.000 0.500 1
```



Record 18
A crystal of CrRu3 relaxed with PBEsol, computed with meta-GGA SCAN.

## Properties
* DOS at the Fermi energy: 0.9312 states/eV/atom
* calculated formation energy: 0.04 eV per atom

CIF file:
```
data_CrRu3
_symmetry_space_group_name_H-M 'P m m 2'
_symmetry_Int_Tables_number 25
_symmetry_space_group_name_Hall 'P 2 -2'
_cell_length_a 2.673
_cell_length_b 4.188
_cell_length_c 4.583
_cell_angle_alpha 90.00
_cell_angle_beta 90.00
_cell_angle_gamma 90.00
loop_
_atom_site_label
_atom_site_fract_x
_atom_site_fract_y
_atom_site_fract_z
_atom_site_occupancy
Cr1 0.000 0.000 0.000 1
Ru1 0.000 0.500 0.329 1
Ru2 0.500 0.000 0.496 1
Ru3 0.500 0.500 0.841 1
```



Record 19
A crystal of Rb5LiSi2NiO8 relaxed with PBEsol, computed with meta-GGA SCAN.

## Properties
* DOS at the Fermi energy: 0.0000 states/eV/atom
* uncorrected formation energy: -2.270 eV/atom

CIF file:
```
data_Rb5LiSi2NiO8
_symmetry_space_group_name_H-M 'C 1 2/c 1'
_symmetry_Int_Tables_number 15
_symmetry_space_group_name_Hall '-C 2yc'
_cell_length_a 8.635
_cell_length_b 10.203
_cell_length_c 13.692
_cell_angle_alpha 90.00
_cell_angle_beta 101.43
_cell_angle_gamma 90.00
loop_
_atom_site_label
_atom_site_fract_x
_atom_site_fract_y
_atom_site_fract_z
_atom_site_occupancy
Rb1 0.000 0.133 0.250 1
Rb2 0.114 0.350 0.572 1
Rb3 0.223 0.185 0.851 1
Li1 0.000 0.458 0.250 1
Si1 0.249 0.030 0.631 1
Ni1 0.000 0.000 0.000 1
O1 0.066 0.090 0.622 1
O2 0.114 0.358 0.367 1
O3 0.196 0.443 0.768 1
O4 0.213 0.058 0.027 1
```



Record 20
A crystal of Zn2CoTc relaxed with PBEsol, computed with meta-GGA SCAN.

## Properties
* DOS at the Fermi energy: 0.6103 states/eV/atom
* calculated formation energy: 0.06 eV per atom
* energy relative to the lowest polymorph listed for this composition: 0.89 kcal/mol of atoms

CIF file:
```
data_Zn2CoTc
_symmetry_space_group_name_H-M 'P 4/m m m'
_symmetry_Int_Tables_number 123
_symmetry_space_group_name_Hall '-P 4 2'
_cell_length_a 3.627
_cell_length_b 3.627
_cell_length_c 3.868
_cell_angle_alpha 90.00
_cell_angle_beta 90.00
_cell_angle_gamma 90.00
loop_
_atom_site_label
_atom_site_fract_x
_atom_site_fract_y
_atom_site_fract_z
_atom_site_occupancy
Zn1 0.000 0.500 0.000 1
Co1 0.000 0.000 0.500 1
Tc1 0.500 0.500 0.500 1
```